1.
Crystalline Ba2GaF at its relaxed geometry. Source: Alexandria via LeMat-Bulk, functional PBE-GGA.

Its calculated volume is 283 Å³ per cell. For the total energy, the calculation gives -3.614 eV/atom. Its relative energy among the computed polymorphs is 0 meV per atom. Its space group is I-42d (122). Its raw formation energy is -551.1 kJ/mol of formula units.

Unit cell a=7.215 b=7.215 c=7.215 alpha=114.45 beta=114.45 gamma=99.92
Sites, in units of the cell vectors:
1 Ba 0.057 0.625 0.932
2 Ba 0.375 0.307 0.432
3 Ba 0.693 0.125 0.068
4 Ba 0.875 0.943 0.568
5 Ga 0.250 0.750 0.500
6 Ga 0.500 0.500 0.000
7 F 0.000 0.000 0.000
8 F 0.750 0.250 0.500

=====

2.
Crystalline BaGa3F at its relaxed geometry. Source: Alexandria via LeMat-Bulk, functional PBE-GGA.

Its calculated volume is 124 Å³ per cell. For the total energy, the calculation gives -3.164 eV/atom. Its relative energy among the computed polymorphs is 0 meV per atom. Its space group is Pm-3m (221). Its raw formation energy is -284.4 kJ/mol of formula units.

Unit cell a=4.993 b=4.993 c=4.993 alpha=90.00 beta=90.00 gamma=90.00
Sites, in units of the cell vectors:
1 Ba 0.000 0.000 0.000
2 Ga 0.000 0.500 0.500
3 Ga 0.500 0.000 0.500
4 Ga 0.500 0.500 0.000
5 F 0.500 0.500 0.500

=====

3.
Crystalline BaGaF2 at its relaxed geometry. Source: Alexandria via LeMat-Bulk, functional PBE-GGA.

Its calculated volume is 248 Å³ per cell. For the total energy, the calculation gives -4.368 eV/atom. Its relative energy among the computed polymorphs is 275 meV per atom. Its space group is I-42d (122). Its raw formation energy is -847.1 kJ/mol of formula units.

Unit cell a=7.780 b=7.780 c=7.780 alpha=132.91 beta=132.91 gamma=68.79
Sites, in units of the cell vectors:
1 Ba 0.000 0.000 0.000
2 Ba 0.750 0.250 0.500
3 Ga 0.250 0.750 0.500
4 Ga 0.500 0.500 0.000
5 F 0.054 0.625 0.929
6 F 0.375 0.304 0.429
7 F 0.696 0.125 0.071
8 F 0.875 0.946 0.571

=====

4.
Crystalline Ba3GaF at its relaxed geometry. Source: Alexandria via LeMat-Bulk, functional PBE-GGA.

Its calculated volume is 171 Å³ per cell. For the total energy, the calculation gives -3.269 eV/atom. Its relative energy among the computed polymorphs is 69 meV per atom. Its space group is Pm-3m (221). Its raw formation energy is -548.1 kJ/mol of formula units.

Unit cell a=5.548 b=5.548 c=5.548 alpha=90.00 beta=90.00 gamma=90.00
Sites, in units of the cell vectors:
1 Ba 0.000 0.000 0.500
2 Ba 0.000 0.500 0.000
3 Ba 0.500 0.000 0.000
4 Ga 0.500 0.500 0.500
5 F 0.000 0.000 0.000

=====

5.
Crystalline Ba2GaF at its relaxed geometry. Source: Alexandria via LeMat-Bulk, functional PBE-GGA.

Its calculated volume is 128 Å³ per cell. For the total energy, the calculation gives -3.285 eV/atom. Its relative energy among the computed polymorphs is 328 meV per atom. Its space group is Fm-3m (225). Its raw formation energy is -424.3 kJ/mol of formula units.

Unit cell a=5.653 b=5.653 c=5.653 alpha=60.00 beta=60.00 gamma=60.00
Sites, in units of the cell vectors:
1 Ba 0.250 0.250 0.250
2 Ba 0.750 0.750 0.750
3 Ga 0.000 0.000 0.000
4 F 0.500 0.500 0.500

=====

6.
Crystalline Ba2GaF at its relaxed geometry. Source: Alexandria via LeMat-Bulk, functional PBE-GGA.

Its calculated volume is 183 Å³ per cell. For the total energy, the calculation gives -3.546 eV/atom. Its relative energy among the computed polymorphs is 68 meV per atom. Its space group is R-3m (166). Its raw formation energy is -524.7 kJ/mol of formula units.

Unit cell a=9.503 b=9.503 c=9.503 alpha=29.36 beta=29.36 gamma=29.36
Sites, in units of the cell vectors:
1 Ba 0.091 0.091 0.091
2 Ba 0.909 0.909 0.909
3 Ga 0.500 0.500 0.500
4 F 0.000 0.000 0.000

=====

total energy of number 6 (Ba2GaF)?
-3.546 eV/atom